A relaxed structure of Mg2AlRe. Source: Alexandria, functional PBE-GGA.

```
data_Mg2AlRe
_symmetry_space_group_name_H-M 'P 1'
_symmetry_Int_Tables_number 1
_cell_length_a 4.898
_cell_length_b 4.898
_cell_length_c 5.232
_cell_angle_alpha 84.31
_cell_angle_beta 84.31
_cell_angle_gamma 32.65
loop_
_symmetry_equiv_pos_as_xyz
'x,y,z'
loop_
_atom_site_label
_atom_site_type_symbol
_atom_site_fract_x
_atom_site_fract_y
_atom_site_fract_z
Al1 Al 0.242 0.242 0.276
Mg1 Mg 0.996 0.996 0.998
Mg2 Mg 0.758 0.758 0.740
Re1 Re 0.504 0.504 0.486
```

Values from the calculation:
ΔH_f (0 K), eV per atom: 0.120
SG: Cm, No. 8

---

A relaxed structure of MgAl2Re. Source: Alexandria, functional PBE-GGA.

```
data_MgAl2Re
_symmetry_space_group_name_H-M 'P 1'
_symmetry_Int_Tables_number 1
_cell_length_a 4.276
_cell_length_b 4.278
_cell_length_c 3.379
_cell_angle_alpha 90.00
_cell_angle_beta 90.00
_cell_angle_gamma 90.00
loop_
_symmetry_equiv_pos_as_xyz
'x,y,z'
loop_
_atom_site_label
_atom_site_type_symbol
_atom_site_fract_x
_atom_site_fract_y
_atom_site_fract_z
Al1 Al 0.000 0.000 0.000
Al2 Al 0.500 0.500 0.000
Mg1 Mg 0.500 0.000 0.500
Re1 Re 0.000 0.500 0.500
```

Values from the calculation:
ΔH_f (0 K), eV per atom: 0.036
SG: P4/mmm, No. 123

---

A relaxed structure of MgAl2Re. Source: Alexandria, functional PBE-GGA.

```
data_MgAl2Re
_symmetry_space_group_name_H-M 'P 1'
_symmetry_Int_Tables_number 1
_cell_length_a 9.052
_cell_length_b 9.052
_cell_length_c 9.052
_cell_angle_alpha 18.81
_cell_angle_beta 18.81
_cell_angle_gamma 18.81
loop_
_symmetry_equiv_pos_as_xyz
'x,y,z'
loop_
_atom_site_label
_atom_site_type_symbol
_atom_site_fract_x
_atom_site_fract_y
_atom_site_fract_z
Al1 Al 0.008 0.008 0.008
Al2 Al 0.492 0.492 0.492
Mg1 Mg 0.250 0.250 0.250
Re1 Re 0.750 0.750 0.750
```

Values from the calculation:
ΔH_f (0 K), eV per atom: 0.043
SG: R-3m, No. 166

---

A relaxed structure of Mg2AlRe. Source: Alexandria, functional PBE-GGA.

```
data_Mg2AlRe
_symmetry_space_group_name_H-M 'P 1'
_symmetry_Int_Tables_number 1
_cell_length_a 2.837
_cell_length_b 2.837
_cell_length_c 8.817
_cell_angle_alpha 90.00
_cell_angle_beta 90.00
_cell_angle_gamma 90.00
loop_
_symmetry_equiv_pos_as_xyz
'x,y,z'
loop_
_atom_site_label
_atom_site_type_symbol
_atom_site_fract_x
_atom_site_fract_y
_atom_site_fract_z
Al1 Al 0.500 0.500 0.723
Mg1 Mg 0.000 0.000 0.984
Mg2 Mg 0.500 0.500 0.278
Re1 Re 0.000 0.000 0.515
```

Values from the calculation:
ΔH_f (0 K), eV per atom: 0.191
SG: P4mm, No. 99

---

A relaxed structure of Mg4AlRe. Source: Alexandria, functional PBE-GGA.

```
data_Mg4AlRe
_symmetry_space_group_name_H-M 'P 1'
_symmetry_Int_Tables_number 1
_cell_length_a 5.363
_cell_length_b 5.363
_cell_length_c 5.363
_cell_angle_alpha 60.00
_cell_angle_beta 60.00
_cell_angle_gamma 60.00
loop_
_symmetry_equiv_pos_as_xyz
'x,y,z'
loop_
_atom_site_label
_atom_site_type_symbol
_atom_site_fract_x
_atom_site_fract_y
_atom_site_fract_z
Mg1 Mg 0.871 0.376 0.376
Mg2 Mg 0.376 0.376 0.871
Mg3 Mg 0.376 0.871 0.376
Mg4 Mg 0.376 0.376 0.376
Al1 Al 0.000 0.000 0.000
Re1 Re 0.750 0.750 0.750
```

Values from the calculation:
ΔH_f (0 K), eV per atom: 0.588
SG: F-43m, No. 216

---

A relaxed structure of MgAl2Re. Source: Alexandria, functional PBE-GGA.

```
data_MgAl2Re
_symmetry_space_group_name_H-M 'P 1'
_symmetry_Int_Tables_number 1
_cell_length_a 7.285
_cell_length_b 7.285
_cell_length_c 5.841
_cell_angle_alpha 51.42
_cell_angle_beta 51.42
_cell_angle_gamma 90.00
loop_
_symmetry_equiv_pos_as_xyz
'x,y,z'
loop_
_atom_site_label
_atom_site_type_symbol
_atom_site_fract_x
_atom_site_fract_y
_atom_site_fract_z
Re1 Re 0.000 0.000 0.000
Re2 Re 0.750 0.250 0.500
Mg1 Mg 0.500 0.500 0.000
Mg2 Mg 0.250 0.750 0.500
Al1 Al 0.658 0.125 0.250
Al2 Al 0.092 0.625 0.250
Al3 Al 0.375 0.342 0.750
Al4 Al 0.875 0.908 0.750
```

Values from the calculation:
ΔH_f (0 K), eV per atom: 0.538
SG: I-42d, No. 122

---

A relaxed structure of MgAlRe. Source: Alexandria, functional PBE-GGA.

```
data_MgAlRe
_symmetry_space_group_name_H-M 'P 1'
_symmetry_Int_Tables_number 1
_cell_length_a 4.362
_cell_length_b 4.362
_cell_length_c 4.362
_cell_angle_alpha 60.00
_cell_angle_beta 60.00
_cell_angle_gamma 60.00
loop_
_symmetry_equiv_pos_as_xyz
'x,y,z'
loop_
_atom_site_label
_atom_site_type_symbol
_atom_site_fract_x
_atom_site_fract_y
_atom_site_fract_z
Al1 Al 0.000 0.000 0.000
Mg1 Mg 0.500 0.500 0.500
Re1 Re 0.750 0.750 0.750
```

Values from the calculation:
Polymorph energy (0 for the lowest one), kJ per mole of atoms: 77.97
ΔH_f (0 K), eV per atom: 0.726
SG: F-43m, No. 216

---

A relaxed structure of MgAlRe. Source: Alexandria, functional PBE-GGA.

```
data_MgAlRe
_symmetry_space_group_name_H-M 'P 1'
_symmetry_Int_Tables_number 1
_cell_length_a 4.461
_cell_length_b 4.461
_cell_length_c 2.719
_cell_angle_alpha 90.00
_cell_angle_beta 90.00
_cell_angle_gamma 120.00
loop_
_symmetry_equiv_pos_as_xyz
'x,y,z'
loop_
_atom_site_label
_atom_site_type_symbol
_atom_site_fract_x
_atom_site_fract_y
_atom_site_fract_z
Al1 Al 0.000 0.000 0.989
Mg1 Mg 0.667 0.333 0.305
Re1 Re 0.333 0.667 0.706
```

Values from the calculation:
Polymorph energy (0 for the lowest one), kJ per mole of atoms: 14.32
ΔH_f (0 K), eV per atom: 0.066
SG: P3m1, No. 156

---

A relaxed structure of MgAlRe3. Source: Alexandria, functional PBE-GGA.

```
data_MgAlRe3
_symmetry_space_group_name_H-M 'P 1'
_symmetry_Int_Tables_number 1
_cell_length_a 4.482
_cell_length_b 4.482
_cell_length_c 4.482
_cell_angle_alpha 90.00
_cell_angle_beta 90.00
_cell_angle_gamma 90.00
loop_
_symmetry_equiv_pos_as_xyz
'x,y,z'
loop_
_atom_site_label
_atom_site_type_symbol
_atom_site_fract_x
_atom_site_fract_y
_atom_site_fract_z
Re1 Re 0.000 0.500 0.000
Re2 Re 0.000 0.000 0.500
Re3 Re 0.500 0.000 0.000
Mg1 Mg 0.000 0.000 0.000
Al1 Al 0.500 0.500 0.500
```

Values from the calculation:
ΔH_f (0 K), eV per atom: 2.360
SG: Pm-3m, No. 221

---

A relaxed structure of Mg2AlRe. Source: Alexandria, functional PBE-GGA.

```
data_Mg2AlRe
_symmetry_space_group_name_H-M 'P 1'
_symmetry_Int_Tables_number 1
_cell_length_a 9.663
_cell_length_b 9.663
_cell_length_c 9.663
_cell_angle_alpha 17.48
_cell_angle_beta 17.48
_cell_angle_gamma 17.48
loop_
_symmetry_equiv_pos_as_xyz
'x,y,z'
loop_
_atom_site_label
_atom_site_type_symbol
_atom_site_fract_x
_atom_site_fract_y
_atom_site_fract_z
Al1 Al 0.758 0.758 0.758
Mg1 Mg 0.003 0.003 0.003
Mg2 Mg 0.242 0.242 0.242
Re1 Re 0.496 0.496 0.496
```

Values from the calculation:
ΔH_f (0 K), eV per atom: 0.185
SG: R3m, No. 160

---

A relaxed structure of MgAl2Re. Source: Alexandria, functional PBE-GGA.

```
data_MgAl2Re
_symmetry_space_group_name_H-M 'P 1'
_symmetry_Int_Tables_number 1
_cell_length_a 4.820
_cell_length_b 4.820
_cell_length_c 5.089
_cell_angle_alpha 82.81
_cell_angle_beta 82.81
_cell_angle_gamma 33.34
loop_
_symmetry_equiv_pos_as_xyz
'x,y,z'
loop_
_atom_site_label
_atom_site_type_symbol
_atom_site_fract_x
_atom_site_fract_y
_atom_site_fract_z
Al1 Al 0.012 0.012 0.975
Al2 Al 0.488 0.488 0.525
Mg1 Mg 0.250 0.250 0.250
Re1 Re 0.750 0.750 0.750
```

Values from the calculation:
ΔH_f (0 K), eV per atom: -0.010
SG: C2/m, No. 12

---

A relaxed structure of MgAlRe. Source: Alexandria, functional PBE-GGA.

```
data_MgAlRe
_symmetry_space_group_name_H-M 'P 1'
_symmetry_Int_Tables_number 1
_cell_length_a 4.871
_cell_length_b 4.871
_cell_length_c 4.871
_cell_angle_alpha 147.65
_cell_angle_beta 129.46
_cell_angle_gamma 61.30
loop_
_symmetry_equiv_pos_as_xyz
'x,y,z'
loop_
_atom_site_label
_atom_site_type_symbol
_atom_site_fract_x
_atom_site_fract_y
_atom_site_fract_z
Al1 Al 0.009 0.009 0.000
Mg1 Mg 0.331 0.331 0.000
Re1 Re 0.660 0.660 0.000
```

Values from the calculation:
Polymorph energy (0 for the lowest one), kJ per mole of atoms: 17.26
ΔH_f (0 K), eV per atom: 0.096
SG: Imm2, No. 44

---

A relaxed structure of MgAlRe4. Source: Alexandria, functional PBE-GGA.

```
data_MgAlRe4
_symmetry_space_group_name_H-M 'P 1'
_symmetry_Int_Tables_number 1
_cell_length_a 5.210
_cell_length_b 5.210
_cell_length_c 5.210
_cell_angle_alpha 60.00
_cell_angle_beta 60.00
_cell_angle_gamma 60.00
loop_
_symmetry_equiv_pos_as_xyz
'x,y,z'
loop_
_atom_site_label
_atom_site_type_symbol
_atom_site_fract_x
_atom_site_fract_y
_atom_site_fract_z
Mg1 Mg 0.000 0.000 0.000
Al1 Al 0.750 0.750 0.750
Re1 Re 0.875 0.375 0.375
Re2 Re 0.375 0.375 0.875
Re3 Re 0.375 0.875 0.375
Re4 Re 0.375 0.375 0.375
```

Values from the calculation:
ΔH_f (0 K), eV per atom: 0.257
SG: F-43m, No. 216

---

A relaxed structure of Mg2AlRe. Source: Alexandria, functional PBE-GGA.

```
data_Mg2AlRe
_symmetry_space_group_name_H-M 'P 1'
_symmetry_Int_Tables_number 1
_cell_length_a 4.439
_cell_length_b 2.767
_cell_length_c 5.617
_cell_angle_alpha 76.88
_cell_angle_beta 90.00
_cell_angle_gamma 90.00
loop_
_symmetry_equiv_pos_as_xyz
'x,y,z'
loop_
_atom_site_label
_atom_site_type_symbol
_atom_site_fract_x
_atom_site_fract_y
_atom_site_fract_z
Al1 Al 0.500 0.771 0.720
Mg1 Mg 0.000 0.944 0.000
Mg2 Mg 0.500 0.260 0.258
Re1 Re 0.000 0.525 0.522
```

Values from the calculation:
ΔH_f (0 K), eV per atom: 0.116
SG: Pm, No. 6